4
Lattice="4.055 0.000 0.000 0.000 4.055 0.000 0.000 0.000 2.950" Properties=species:S:1:pos:R:3 comment="LiPOs2 PBE optimized geometry" total_energy_ev_per_atom=-7.341 magmom_total_mub_per_atom=0.0000 sg="No. 123" rho_g_cm3=14.32 formation_enthalpy_0k_ev_per_fu=0.42 pbc="T T T"
Li 0.000 0.000 0.000
P 2.028 2.028 0.000
Os 0.000 2.028 1.475
Os 2.028 0.000 1.475